[1]
# BaGdHgBi, relaxed, DFT PBE
data_BaGdHgBi
_chemical_formula_sum 'Ba4 Gd4 Hg4 Bi4'
_cell_length_a 8.118
_cell_length_b 8.118
_cell_length_c 8.118
_cell_angle_alpha 90.00
_cell_angle_beta 90.00
_cell_angle_gamma 90.00
_space_group_name_H-M_alt 'F -4 3 m'
_space_group_IT_number 216
_space_group_name_Hall 'F -4 2 3'
loop_
_atom_site_label
_atom_site_fract_x
_atom_site_fract_y
_atom_site_fract_z
Ba1 0.000 0.000 0.000
Gd1 0.000 0.000 0.500
Hg1 0.250 0.250 0.250
Bi1 0.250 0.250 0.750
# Formation enthalpy at 0 K = -50.9 kJ/mol of atoms
# Size of the total moment = 1.9546 μB per atom
# Fermi-level density of states = 7.23 states/eV/f.u.

[2]
# BaSrGdBiO6, relaxed, DFT PBE
data_BaSrGdBiO6
_chemical_formula_sum 'Ba4 Sr4 Gd4 Bi4 O24'
_cell_length_a 8.714
_cell_length_b 8.714
_cell_length_c 8.714
_cell_angle_alpha 90.00
_cell_angle_beta 90.00
_cell_angle_gamma 90.00
_space_group_name_H-M_alt 'F -4 3 m'
_space_group_IT_number 216
_space_group_name_Hall 'F -4 2 3'
loop_
_atom_site_label
_atom_site_fract_x
_atom_site_fract_y
_atom_site_fract_z
Ba1 0.000 0.000 0.000
Sr1 0.000 0.000 0.500
Gd1 0.250 0.250 0.250
Bi1 0.250 0.250 0.750
O1 0.007 0.250 0.750
# Size of the total moment = 0.6983 μB per atom
# Excess energy over the best structure of this formula in the dataset = 52 meV per atom
# E_form (uncorrected) = -2.334 eV/atom
# Fermi-level density of states = 0.00 states/eV/f.u.

[3]
# BaSrGdBiO6, relaxed, DFT PBE
data_BaSrGdBiO6
_chemical_formula_sum 'Ba2 Sr2 Gd2 Bi2 O12'
_cell_length_a 6.103
_cell_length_b 6.146
_cell_length_c 8.653
_cell_angle_alpha 89.88
_cell_angle_beta 89.79
_cell_angle_gamma 89.88
_space_group_name_H-M_alt 'P -1'
_space_group_IT_number 2
loop_
_space_group_symop_operation_xyz
'x,y,z'
'-x,-y,-z'
loop_
_atom_site_label
_atom_site_fract_x
_atom_site_fract_y
_atom_site_fract_z
Ba1 0.007 0.027 0.250
Sr1 0.492 0.534 0.249
Gd1 0.000 0.500 0.000
Gd2 0.500 0.000 0.500
Bi1 0.000 0.500 0.500
Bi2 0.500 0.000 0.000
O1 0.088 0.503 0.741
O2 0.211 0.774 0.464
O3 0.224 0.790 0.032
O4 0.278 0.295 0.450
O5 0.300 0.282 0.049
O6 0.433 0.042 0.758
# Size of the total moment = 0.6966 μB per atom
# Excess energy over the best structure of this formula in the dataset = 0 meV per atom
# E_form (uncorrected) = -2.386 eV/atom

[4]
# Ba4GeBi4, relaxed, DFT PBE
data_Ba4GeBi4
_chemical_formula_sum 'Ba8 Ge2 Bi8'
_cell_length_a 10.224
_cell_length_b 10.224
_cell_length_c 7.389
_cell_angle_alpha 90.00
_cell_angle_beta 90.00
_cell_angle_gamma 90.00
_space_group_name_H-M_alt 'P 42/n m c'
_space_group_IT_number 137
loop_
_space_group_symop_operation_xyz
'x,y,z'
'-x,-y,-z'
'-y+1/2,x,z+1/2'
'y+1/2,-x,-z+1/2'
'-x+1/2,-y+1/2,z'
'x+1/2,y+1/2,-z'
'y,-x+1/2,z+1/2'
'-y,x+1/2,-z+1/2'
'x+1/2,-y,-z'
'-x+1/2,y,z'
'-y,-x,-z+1/2'
'y,x,z+1/2'
'-x,y+1/2,-z'
'x,-y+1/2,z'
'y+1/2,x+1/2,-z+1/2'
'-y+1/2,-x+1/2,z+1/2'
loop_
_atom_site_label
_atom_site_fract_x
_atom_site_fract_y
_atom_site_fract_z
Ba1 0.010 0.250 0.050
Ge1 0.250 0.750 0.250
Bi1 0.015 0.750 0.458
# Formation enthalpy at 0 K = -69.7 kJ/mol of atoms
# Size of the total moment = 0.0000 μB per atom
# Fermi-level density of states = 2.77 states/eV/f.u.

[5]
# Ba2GeBi2, relaxed, DFT PBE
data_Ba2GeBi2
_chemical_formula_sum 'Ba4 Ge2 Bi4'
_cell_length_a 8.353
_cell_length_b 8.353
_cell_length_c 5.301
_cell_angle_alpha 90.00
_cell_angle_beta 90.00
_cell_angle_gamma 90.00
_space_group_name_H-M_alt 'P 4/m b m'
_space_group_IT_number 127
_space_group_name_Hall '-P 4 2ab'
loop_
_atom_site_label
_atom_site_fract_x
_atom_site_fract_y
_atom_site_fract_z
Ba1 0.177 0.323 0.000
Ge1 0.000 0.000 0.500
Bi1 0.131 0.631 0.500
# Formation enthalpy at 0 K = -53.6 kJ/mol of atoms
# Size of the total moment = 0.0000 μB per atom
# Excess energy over the best structure of this formula in the dataset = 77 meV per atom
# Fermi-level density of states = 1.91 states/eV/f.u.

[6]
# BaGe2Bi2, relaxed, DFT PBE
data_BaGe2Bi2
_chemical_formula_sum 'Ba2 Ge4 Bi4'
_cell_length_a 8.381
_cell_length_b 8.381
_cell_length_c 4.296
_cell_angle_alpha 90.00
_cell_angle_beta 90.00
_cell_angle_gamma 90.00
_space_group_name_H-M_alt 'P 4/m b m'
_space_group_IT_number 127
_space_group_name_Hall '-P 4 2ab'
loop_
_atom_site_label
_atom_site_fract_x
_atom_site_fract_y
_atom_site_fract_z
Ba1 0.000 0.000 0.000
Ge1 0.112 0.388 0.000
Bi1 0.163 0.663 0.500
# Formation enthalpy at 0 K = -14.0 kJ/mol of atoms
# Size of the total moment = 0.0000 μB per atom
# Excess energy over the best structure of this formula in the dataset = 102 meV per atom
# Fermi-level density of states = 3.61 states/eV/f.u.

[7]
# BaGeBi2, relaxed, DFT PBE
data_BaGeBi2
_chemical_formula_sum 'Ba1 Ge1 Bi2'
_cell_length_a 4.960
_cell_length_b 4.960
_cell_length_c 5.162
_cell_angle_alpha 90.00
_cell_angle_beta 90.00
_cell_angle_gamma 90.00
_space_group_name_H-M_alt 'P 4/m m m'
_space_group_IT_number 123
_space_group_name_Hall '-P 4 2'
loop_
_atom_site_label
_atom_site_fract_x
_atom_site_fract_y
_atom_site_fract_z
Ba1 0.000 0.000 0.000
Ge1 0.500 0.500 0.000
Bi1 0.000 0.500 0.500
# Formation enthalpy at 0 K = -28.1 kJ/mol of atoms
# Size of the total moment = 0.0000 μB per atom
# Excess energy over the best structure of this formula in the dataset = 0 meV per atom
# Fermi-level density of states = 3.44 states/eV/f.u.

[8]
# Ba3Ge2Bi3, relaxed, DFT PBE
data_Ba3Ge2Bi3
_chemical_formula_sum 'Ba3 Ge2 Bi3'
_cell_length_a 4.985
_cell_length_b 5.044
_cell_length_c 11.896
_cell_angle_alpha 102.23
_cell_angle_beta 91.08
_cell_angle_gamma 90.00
_space_group_name_H-M_alt 'P -1'
_space_group_IT_number 2
loop_
_space_group_symop_operation_xyz
'x,y,z'
'-x,-y,-z'
loop_
_atom_site_label
_atom_site_fract_x
_atom_site_fract_y
_atom_site_fract_z
Ba1 0.000 0.000 0.000
Ba2 0.499 0.836 0.671
Ge1 0.013 0.270 0.540
Bi1 0.002 0.391 0.782
Bi2 0.500 0.500 0.000
# Formation enthalpy at 0 K = -59.7 kJ/mol of atoms
# Size of the total moment = 0.0000 μB per atom
# Fermi-level density of states = 3.58 states/eV/f.u.

[9]
# BaGeBi, relaxed, DFT PBE
data_BaGeBi
_chemical_formula_sum 'Ba1 Ge1 Bi1'
_cell_length_a 5.0318
_cell_length_b 5.0318
_cell_length_c 4.8740
_cell_angle_alpha 90.00
_cell_angle_beta 90.00
_cell_angle_gamma 120.00
_space_group_name_H-M_alt 'P -6 m 2'
_space_group_IT_number 187
_space_group_name_Hall 'P -6 2'
loop_
_atom_site_label
_atom_site_fract_x
_atom_site_fract_y
_atom_site_fract_z
Ba1 0.0000 0.0000 0.0000
Ge1 0.3333 0.6667 0.5000
Bi1 0.6667 0.3333 0.5000
# Formation enthalpy at 0 K = -50.5 kJ/mol of atoms
# Size of the total moment = 0.0000 μB per atom
# Excess energy over the best structure of this formula in the dataset = 19 meV per atom
# Fermi-level density of states = 1.19 states/eV/f.u.

[10]
# BaGe2Bi2, relaxed, DFT PBE
data_BaGe2Bi2
_chemical_formula_sum 'Ba2 Ge4 Bi4'
_cell_length_a 5.657
_cell_length_b 5.657
_cell_length_c 9.944
_cell_angle_alpha 90.00
_cell_angle_beta 90.00
_cell_angle_gamma 90.00
_space_group_name_H-M_alt 'I 4/m m m'
_space_group_IT_number 139
_space_group_name_Hall '-I 4 2'
loop_
_atom_site_label
_atom_site_fract_x
_atom_site_fract_y
_atom_site_fract_z
Ba1 0.000 0.000 0.000
Ge1 0.000 0.000 0.365
Bi1 0.000 0.500 0.250
# Formation enthalpy at 0 K = -23.8 kJ/mol of atoms
# Size of the total moment = 0.0000 μB per atom
# Excess energy over the best structure of this formula in the dataset = 0 meV per atom
# Fermi-level density of states = 2.98 states/eV/f.u.

[11]
# BaGeBi2, relaxed, DFT PBE
data_BaGeBi2
_chemical_formula_sum 'Ba4 Ge4 Bi8'
_cell_length_a 8.493
_cell_length_b 8.493
_cell_length_c 8.310
_cell_angle_alpha 90.00
_cell_angle_beta 90.00
_cell_angle_gamma 90.00
_space_group_name_H-M_alt 'I -4 2 d'
_space_group_IT_number 122
_space_group_name_Hall 'I -4 2bw'
loop_
_atom_site_label
_atom_site_fract_x
_atom_site_fract_y
_atom_site_fract_z
Ba1 0.000 0.000 0.000
Ge1 0.000 0.000 0.500
Bi1 0.170 0.250 0.625
# Formation enthalpy at 0 K = -26.8 kJ/mol of atoms
# Size of the total moment = 0.0000 μB per atom
# Excess energy over the best structure of this formula in the dataset = 14 meV per atom
# Fermi-level density of states = 1.14 states/eV/f.u.

[12]
# BaGeBi3, relaxed, DFT PBE
data_BaGeBi3
_chemical_formula_sum 'Ba1 Ge1 Bi3'
_cell_length_a 5.675
_cell_length_b 5.675
_cell_length_c 5.675
_cell_angle_alpha 90.00
_cell_angle_beta 90.00
_cell_angle_gamma 90.00
_space_group_name_H-M_alt 'P m -3 m'
_space_group_IT_number 221
_space_group_name_Hall '-P 4 2 3'
loop_
_atom_site_label
_atom_site_fract_x
_atom_site_fract_y
_atom_site_fract_z
Ba1 0.000 0.000 0.000
Ge1 0.500 0.500 0.500
Bi1 0.000 0.500 0.500
# Formation enthalpy at 0 K = -3.9 kJ/mol of atoms
# Size of the total moment = 0.0000 μB per atom
# Excess energy over the best structure of this formula in the dataset = 0 meV per atom
# Fermi-level density of states = 5.31 states/eV/f.u.

Number 1: ρ 8.7 g/cm3. Number 2: ρ 6.9 g/cm3. Number 3: ρ 7.0 g/cm3. Number 4: ρ 6.3 g/cm3. Number 5: ρ 6.9 g/cm3. Number 6: ρ 7.7 g/cm3. Number 7: ρ 8.2 g/cm3. Number 8: ρ 6.7 g/cm3. Number 9: ρ 6.5 g/cm3. Number 10: ρ 7.3 g/cm3. Number 11: ρ 7.0 g/cm3. Number 12: ρ 7.6 g/cm3.